# Mn2InSiO6, relaxed, DFT PBE+U
# SG: R3 (146)
# Mass density: 5.49 g/cm3
# E_tot: -0.25864 Ha/atom
# Magnetization: 7.00 μB per formula unit
data_Mn2InSiO6
_cell_length_a 5.088
_cell_length_b 5.088
_cell_length_c 5.549
_cell_angle_alpha 62.72
_cell_angle_beta 62.70
_cell_angle_gamma 60.02
_symmetry_space_group_name_H-M 'P 1'
_symmetry_Int_Tables_number 1
loop_
_symmetry_equiv_pos_as_xyz
'x,y,z'
loop_
_atom_site_label
_atom_site_type_symbol
_atom_site_fract_x
_atom_site_fract_y
_atom_site_fract_z
O1 O 0.387 0.700 0.784
In1 In 0.805 0.805 0.585
Si1 Si 0.325 0.325 0.026
Mn1 Mn 0.534 0.535 0.396
O2 O 0.129 0.387 0.784
O3 O 0.582 0.213 0.226
Mn2 Mn 0.007 0.007 0.979
O4 O 0.700 0.129 0.784
O5 O 0.212 0.980 0.226
O6 O 0.980 0.582 0.226